Crystalline Y2TcSb at its relaxed geometry, computed with GGA-PBE.

Properties
M_tot = 0.000 μB/atom
mass density = 6.71 Mg/m³
V = 24.58 A^3/atom
raw formation energy = -0.20 eV per atom

Unit cell a=3.436 b=3.436 c=8.326 alpha=90.00 beta=90.00 gamma=90.00
Element x y z (fractional)
Y: 0.000 0.000 0.000
Y: 0.500 0.500 0.358
Tc: 0.500 0.500 0.774
Sb: 0.000 0.000 0.616